Record 1
Entry from the Alexandria database: a relaxed structure of Tb2PmTm5Th (PBE).

The structure belongs to space group I4/mcm (No. 140); the cell edges are 8.701, 8.701 and 14.973 Å and the angles 90.00°, 90.00° and 90.00°. The asymmetric unit holds Tb at (0.115, 0.385, 0.000), Pm at (0.000, 0.500, 0.250), Tm at (0.000, 0.000, 0.000), Tm at (0.209, 0.291, 0.364) and Th at (0.000, 0.000, 0.250).

As for the total energy: -4.558 eV/atom. As for the crystal system: tetragonal.

***

Record 2
Entry from the Alexandria database: a relaxed structure of TbPmTm5Th2 (PBE).

The structure belongs to space group I4/mcm (No. 140); the cell edges are 8.828, 8.828 and 15.039 Å and the angles 90.00°, 90.00° and 90.00°. The asymmetric unit holds Tb at (0.000, 0.500, 0.250), Pm at (0.000, 0.000, 0.250), Tm at (0.000, 0.000, 0.000), Tm at (0.208, 0.292, 0.138) and Th at (0.118, 0.382, 0.500).

As for the total energy: -4.836 eV/atom. As for the crystal system: tetragonal.

***

Record 3
Entry from the Alexandria database: a relaxed structure of TbPm3TmTh (PBE).

The structure belongs to space group P2_1/m (No. 11); the cell edges are 8.050, 5.092 and 10.169 Å and the angles 90.00°, 108.27° and 90.00°. The asymmetric unit holds Tb at (0.172, 0.250, 0.293), Pm at (0.172, 0.750, 0.543), Pm at (0.178, 0.250, 0.794), Pm at (0.178, 0.750, 0.046), Tm at (0.498, 0.750, 0.373) and Th at (0.499, 0.250, 0.123).

As for the total energy: -5.097 eV/atom. As for the crystal system: monoclinic.

***

Record 4
Entry from the Alexandria database: a relaxed structure of TbPmTmTh (PBE).

The structure belongs to space group F-43m (No. 216); the cell edges are 8.037, 8.037 and 8.037 Å and the angles 90.00°, 90.00° and 90.00°. The asymmetric unit holds Tb at (0.000, 0.000, 0.000), Pm at (0.250, 0.250, 0.750), Tm at (0.250, 0.250, 0.250) and Th at (0.000, 0.000, 0.500).

As for the total energy: -5.146 eV/atom. As for the crystal system: cubic. Its distance to the lowest polymorph of the same formula is 159.4 meV/atom.

***

Record 5
Entry from the Alexandria database: a relaxed structure of Tb2Pm6TmTh (PBE).

The structure belongs to space group C2/c (No. 15); the cell edges are 9.293, 15.014 and 9.732 Å and the angles 90.00°, 97.96° and 90.00°. The asymmetric unit holds Tb at (0.247, 0.046, 0.050), Pm at (0.065, 0.178, 0.443), Pm at (0.096, 0.393, 0.619), Pm at (0.208, 0.218, 0.812), Tm at (0.000, 0.408, 0.250) and Th at (0.000, 0.027, 0.750).

As for the total energy: -4.820 eV/atom. As for the crystal system: monoclinic.

***

Record 6
Entry from the Alexandria database: a relaxed structure of TbPm2Tm5Th (PBE).

The structure belongs to space group I4/mcm (No. 140); the cell edges are 8.664, 8.664 and 15.194 Å and the angles 90.00°, 90.00° and 90.00°. The asymmetric unit holds Tb at (0.000, 0.500, 0.250), Pm at (0.115, 0.385, 0.000), Tm at (0.000, 0.000, 0.000), Tm at (0.213, 0.287, 0.361) and Th at (0.000, 0.000, 0.250).

As for the total energy: -4.585 eV/atom. As for the crystal system: tetragonal.